A geometry-optimized LaCdIN2 structure. Source: Alexandria via LeMat-Bulk, functional PBE.

The structure in CIF format:
```
data_LaCdIN2
_space_group_name_H-M_alt 'P 4/m m m'
_space_group_IT_number 123
_space_group_name_Hall '-P 4 2'
_cell_length_a 4.4995
_cell_length_b 4.4995
_cell_length_c 5.5165
_cell_angle_alpha 90.00
_cell_angle_beta 90.00
_cell_angle_gamma 90.00
loop_
_atom_site_label
_atom_site_fract_x
_atom_site_fract_y
_atom_site_fract_z
_atom_site_occupancy
La1 0.0000 0.0000 0.0000 1
Cd1 0.5000 0.5000 0.5000 1
I1 0.5000 0.5000 0.0000 1
N1 0.0000 0.5000 0.5000 1
```

formation energy without anion corrections	4.27	eV/f.u.
energy above the lowest structure with this stoichiometry	342	meV per atom
N(E_F)	0.48	states/eV/atom

***

A geometry-optimized BaScNiSe3 structure. Source: Alexandria via LeMat-Bulk, functional PBE.

The structure in CIF format:
```
data_BaScNiSe3
_space_group_name_H-M_alt 'P 1 21/m 1'
_space_group_IT_number 11
_space_group_name_Hall '-P 2yb'
_cell_length_a 8.6025
_cell_length_b 4.0222
_cell_length_c 9.1673
_cell_angle_alpha 90.00
_cell_angle_beta 107.86
_cell_angle_gamma 90.00
loop_
_atom_site_label
_atom_site_fract_x
_atom_site_fract_y
_atom_site_fract_z
_atom_site_occupancy
Ba1 0.2022 0.2500 0.2467 1
Sc1 0.3206 0.7500 0.8457 1
Ni1 0.0823 0.2500 0.5847 1
Se1 0.1139 0.2500 0.8641 1
Se2 0.2102 0.7500 0.5356 1
Se3 0.4611 0.7500 0.1604 1
```

formation energy without anion corrections	-8.55	eV/f.u.
N(E_F)	0.63	states/eV/atom

***

A geometry-optimized GaNi2HPb structure. Source: Alexandria via LeMat-Bulk, functional PBE.

The structure in CIF format:
```
data_GaNi2HPb
_space_group_name_H-M_alt 'P 4/m m m'
_space_group_IT_number 123
_space_group_name_Hall '-P 4 2'
_cell_length_a 4.6654
_cell_length_b 4.6654
_cell_length_c 3.4128
_cell_angle_alpha 90.00
_cell_angle_beta 90.00
_cell_angle_gamma 90.00
loop_
_atom_site_label
_atom_site_fract_x
_atom_site_fract_y
_atom_site_fract_z
_atom_site_occupancy
Ga1 0.0000 0.0000 0.0000 1
Ni1 0.0000 0.5000 0.0000 1
H1 0.0000 0.0000 0.5000 1
Pb1 0.5000 0.5000 0.5000 1
```

N(E_F)	0.56	states/eV/atom
final energy	-3.926	eV per atom

***

A geometry-optimized PmYAlGe structure. Source: Alexandria via LeMat-Bulk, functional PBE.

The structure in CIF format:
```
data_PmYAlGe
_space_group_name_H-M_alt 'A m m 2'
_space_group_IT_number 38
_space_group_name_Hall 'A 2 -2'
_cell_length_a 4.0649
_cell_length_b 4.4205
_cell_length_c 11.0888
_cell_angle_alpha 90.00
_cell_angle_beta 90.00
_cell_angle_gamma 90.00
loop_
_atom_site_label
_atom_site_fract_x
_atom_site_fract_y
_atom_site_fract_z
_atom_site_occupancy
Pm1 0.0000 0.0000 0.0000 1
Y1 0.5000 0.0000 0.7180 1
Al1 0.5000 0.0000 0.4291 1
Ge1 0.0000 0.0000 0.2801 1
```

energy above the lowest structure with this stoichiometry	0	meV per atom
N(E_F)	0.82	states/eV/atom
formation energy	-0.698	eV/atom

***

A geometry-optimized NiMoAu4 structure. Source: Alexandria via LeMat-Bulk, functional PBE.

The structure in CIF format:
```
data_NiMoAu4
_space_group_name_H-M_alt 'F -4 3 m'
_space_group_IT_number 216
_space_group_name_Hall 'F -4 2 3'
_cell_length_a 7.6425
_cell_length_b 7.6425
_cell_length_c 7.6425
_cell_angle_alpha 90.00
_cell_angle_beta 90.00
_cell_angle_gamma 90.00
loop_
_atom_site_label
_atom_site_fract_x
_atom_site_fract_y
_atom_site_fract_z
_atom_site_occupancy
Ni1 0.0000 0.0000 0.0000 1
Mo1 0.2500 0.2500 0.2500 1
Au1 0.1252 0.1252 0.6252 1
```

N(E_F)	1.09	states/eV/atom
formation energy	0.644	eV/atom

***

A geometry-optimized InRe2Sb structure. Source: Alexandria via LeMat-Bulk, functional PBE.

The structure in CIF format:
```
data_InRe2Sb
_space_group_name_H-M_alt 'P 4/m m m'
_space_group_IT_number 123
_space_group_name_Hall '-P 4 2'
_cell_length_a 3.2597
_cell_length_b 3.2597
_cell_length_c 6.6223
_cell_angle_alpha 90.00
_cell_angle_beta 90.00
_cell_angle_gamma 90.00
loop_
_atom_site_label
_atom_site_fract_x
_atom_site_fract_y
_atom_site_fract_z
_atom_site_occupancy
In1 0.0000 0.0000 0.0000 1
Re1 0.5000 0.5000 0.2637 1
Sb1 0.0000 0.0000 0.5000 1
```

formation energy without anion corrections	2.84	eV/f.u.
energy above the lowest structure with this stoichiometry	464	meV per atom
N(E_F)	1.01	states/eV/atom